# 1
This record from Alexandria describes Sc2TcW after structural relaxation. The functional is PBEsol.

## Properties
* formation energy: 0.15 eV per atom
* distance to the lowest polymorph of the same formula: 0.227 eV per atom
* symmetry: Pmmm

POSCAR file:
```
Sc2TcW
1.0
3.2329 0.0000 0.0000
0.0000 4.5681 0.0000
0.0000 0.0000 4.5685
Sc Tc W
2 1 1
direct
0.5000 0.0000 0.5000
0.0000 0.0000 0.0000
0.5000 0.5000 0.0000
0.0000 0.5000 0.5000
```

***

# 2
This record from Alexandria describes Sc2TcW after structural relaxation. The functional is PBEsol.

## Properties
* formation energy: -0.08 eV per atom
* distance to the lowest polymorph of the same formula: 0.000 eV per atom
* symmetry: P4mm

POSCAR file:
```
Sc2TcW
1.0
3.1226 0.0000 0.0000
0.0000 3.1226 0.0000
0.0000 0.0000 7.5530
Tc W Sc
1 1 2
direct
0.0000 0.0000 0.5246
0.5000 0.5000 0.7141
0.5000 0.5000 0.3022
0.0000 0.0000 0.9592
```

***

# 3
This record from Alexandria describes Sc2TcW after structural relaxation. The functional is PBEsol.

## Properties
* formation energy: 0.56 eV per atom
* distance to the lowest polymorph of the same formula: 0.638 eV per atom
* symmetry: R-3m

POSCAR file:
```
Sc2TcW
1.0
-2.1146 1.5959 1.2403
-2.6399 0.1548 -1.2505
-4.4208 -7.0889 5.0340
Sc Tc W
2 1 1
direct
0.0940 0.0940 0.7181
0.9060 0.9060 0.2819
0.5000 0.5000 0.5000
0.0000 0.0000 0.0000
```

***

# 4
This record from Alexandria describes YScTc after structural relaxation. The functional is PBEsol.

## Properties
* formation energy: -0.06 eV per atom
* distance to the lowest polymorph of the same formula: 0.000 eV per atom
* symmetry: Fmm2

POSCAR file:
```
YScTc
1.0
-2.2615 -1.3481 2.0632
2.3849 -0.4525 2.3013
-1.1772 6.1076 -0.0024
Y Sc Tc
1 1 1
direct
0.6948 0.6948 0.3895
0.9628 0.9628 0.9257
0.3424 0.3424 0.6848
```

***

# 5
This record from Alexandria describes YScTc4 after structural relaxation. The functional is PBEsol.

## Properties
* formation energy: -0.17 eV per atom
* symmetry: F-43m

POSCAR file:
```
YScTc4
1.0
-0.5170 -5.2254 -0.2678
3.6173 -2.8744 -2.5093
3.2466 -3.1063 2.7302
Y Tc Sc
1 4 1
direct
0.7500 0.7500 0.7500
0.3747 0.3747 0.3747
0.3747 0.3747 0.8758
0.8758 0.3747 0.3747
0.3747 0.8758 0.3747
0.0000 0.0000 0.0000
```

***

# 6
This record from Alexandria describes YSc2Tc after structural relaxation. The functional is PBEsol.

## Properties
* formation energy: 0.00 eV per atom
* distance to the lowest polymorph of the same formula: 0.073 eV per atom
* symmetry: Imm2

POSCAR file:
```
YSc2Tc
1.0
3.4500 0.0000 0.0000
0.0000 4.9592 0.0000
-1.7250 -2.4796 4.9973
Sc Y Tc
2 1 1
direct
0.7982 0.2982 0.5964
0.0009 0.0009 0.0018
0.2107 0.7107 0.4214
0.4901 0.4901 0.9803
```

***

# 7
This record from Alexandria describes YSc2Tc after structural relaxation. The functional is PBEsol.

## Properties
* formation energy: -0.06 eV per atom
* distance to the lowest polymorph of the same formula: 0.018 eV per atom
* symmetry: Immm

POSCAR file:
```
YSc2Tc
1.0
3.4089 0.0000 0.0000
0.0000 5.0861 0.0000
-1.7044 -2.5431 4.9926
Sc Y Tc
2 1 1
direct
0.2028 0.2028 0.4056
0.7972 0.7972 0.5944
0.0000 0.5000 0.0000
0.5000 0.0000 0.0000
```

***

# 8
This record from Alexandria describes YSc2Tc after structural relaxation. The functional is PBEsol.

## Properties
* formation energy: -0.07 eV per atom
* distance to the lowest polymorph of the same formula: 0.000 eV per atom
* symmetry: P4/mmm

POSCAR file:
```
YSc2Tc
1.0
-2.8836 0.8972 1.2103
-1.3144 -2.7689 -1.0912
1.8519 -3.6983 7.1539
Sc Tc Y
2 1 1
direct
0.0000 0.0000 0.6818
0.0000 0.0000 0.3182
0.5000 0.5000 0.5000
0.5000 0.5000 0.0000
```

***

# 9
This record from Alexandria describes YScTc after structural relaxation. The functional is PBEsol.

## Properties
* formation energy: 0.09 eV per atom
* distance to the lowest polymorph of the same formula: 0.148 eV per atom
* symmetry: P3m1

POSCAR file:
```
YScTc
1.0
-2.6063 0.2253 -2.1896
-0.2170 -4.5455 -0.2094
-2.4301 2.2548 3.1246
Tc Y Sc
1 1 1
direct
0.7551 0.6667 0.3333
0.3512 0.3333 0.6667
0.8937 0.0000 0.0000
```

***

# 10
This record from Alexandria describes ScZnTc2 after structural relaxation. The functional is PBEsol.

## Properties
* formation energy: -0.11 eV per atom
* symmetry: F-43m

POSCAR file:
```
ScZnTc2
1.0
4.3853 0.0000 0.0000
2.1926 3.7978 0.0000
2.1926 1.2659 3.5806
Tc Zn Sc
2 1 1
direct
0.7500 0.7500 0.7500
0.0000 0.0000 0.0000
0.5000 0.5000 0.5000
0.2500 0.2500 0.2500
```

***

# 11
This record from Alexandria describes ScZnTc2 after structural relaxation. The functional is PBEsol.

## Properties
* formation energy: -0.04 eV per atom
* symmetry: Imm2

POSCAR file:
```
ScZnTc2
1.0
-2.3332 2.0292 0.7405
-1.1198 -2.5270 3.3964
4.4853 2.4827 0.5026
Tc Sc Zn
2 1 1
direct
0.9824 0.9824 0.9648
0.2656 0.7657 0.5312
0.7394 0.2394 0.4787
0.5126 0.5125 0.0252
```

***

# 12
This record from Alexandria describes ScZn4Tc after structural relaxation. The functional is PBEsol.

## Properties
* formation energy: -0.21 eV per atom
* symmetry: F-43m

POSCAR file:
```
ScZn4Tc
1.0
4.9448 0.0000 0.0000
2.4724 4.2823 0.0000
2.4724 1.4274 4.0374
Zn Sc Tc
4 1 1
direct
0.8775 0.3742 0.3742
0.3742 0.3742 0.8775
0.3742 0.8775 0.3742
0.3742 0.3742 0.3742
0.7500 0.7500 0.7500
0.0000 0.0000 0.0000
```

***

# 13
This record from Alexandria describes ScZnTc2 after structural relaxation. The functional is PBEsol.

## Properties
* formation energy: -0.05 eV per atom
* symmetry: Pm

POSCAR file:
```
ScZnTc2
1.0
2.8622 0.0000 0.0592
0.0000 4.2660 0.0000
-1.2167 0.0000 4.9796
Sc Zn Tc
1 1 2
direct
0.2364 0.5000 0.7269
0.6410 0.0000 0.5133
0.9670 0.0000 0.0465
0.6556 0.5000 0.2134
```

***

# 14
This record from Alexandria describes ScZnTc2 after structural relaxation. The functional is PBEsol.

## Properties
* formation energy: 0.17 eV per atom
* symmetry: Cmmm

POSCAR file:
```
ScZnTc2
1.0
-1.7114 -1.2312 -1.5049
-0.3363 -3.7025 3.4117
-3.2995 3.7568 0.6787
Tc Zn Sc
2 1 1
direct
0.0000 0.0000 0.5000
0.0000 0.5000 0.0000
0.5000 0.0000 0.0000
0.5000 0.5000 0.5000
```

***

# 15
This record from Alexandria describes ScZnTc2 after structural relaxation. The functional is PBEsol.

## Properties
* formation energy: -0.17 eV per atom
* symmetry: P4mm

POSCAR file:
```
ScZnTc2
1.0
-1.4285 -1.2352 2.3836
2.1716 -2.1192 0.2033
3.4745 3.9569 4.1327
Tc Zn Sc
2 1 1
direct
0.5000 0.5000 0.2390
0.0000 0.0000 0.0294
0.0000 0.0000 0.4744
0.5000 0.5000 0.7571
```

***

# 16
This record from Alexandria describes ScZn3Tc after structural relaxation. The functional is PBEsol.

## Properties
* formation energy: 1.65 eV per atom
* symmetry: Pm-3m

POSCAR file:
```
ScZn3Tc
1.0
4.7924 0.0000 0.0000
0.0000 4.7924 0.0000
0.0000 0.0000 4.7924
Zn Sc Tc
3 1 1
direct
0.0000 0.0000 0.5000
0.5000 0.0000 0.0000
0.0000 0.5000 0.0000
0.0000 0.0000 0.0000
0.5000 0.5000 0.5000
```

***

# 17
This record from Alexandria describes Zr2ScTc after structural relaxation. The functional is PBEsol.

## Properties
* formation energy: -0.14 eV per atom
* distance to the lowest polymorph of the same formula: 0.056 eV per atom
* symmetry: P4mm

POSCAR file:
```
Zr2ScTc
1.0
-1.8483 -2.0009 -1.7809
2.6110 -0.8623 -1.7409
1.3709 -5.5372 4.7986
Sc Zr Tc
1 2 1
direct
0.0000 0.0000 0.5473
0.5000 0.5000 0.2339
0.0000 0.0000 0.9602
0.5000 0.5000 0.7586
```

***

# 18
This record from Alexandria describes ZrScTc2 after structural relaxation. The functional is PBEsol.

## Properties
* formation energy: -0.19 eV per atom
* symmetry: Fm-3m

POSCAR file:
```
ZrScTc2
1.0
4.5538 0.0000 0.0000
2.2769 3.9437 0.0000
2.2769 1.3146 3.7182
Sc Zr Tc
1 1 2
direct
0.0000 0.0000 0.0000
0.5000 0.5000 0.5000
0.2500 0.2500 0.2500
0.7500 0.7500 0.7500
```

***

# 19
This record from Alexandria describes ZrScTc2 after structural relaxation. The functional is PBEsol.

## Properties
* formation energy: -0.25 eV per atom
* symmetry: Imm2

POSCAR file:
```
ZrScTc2
1.0
-0.7267 3.0843 0.3344
-3.6505 -1.1139 2.3412
4.7086 -0.8257 2.6673
Zr Sc Tc
1 1 2
direct
0.4883 0.4883 0.9767
0.2595 0.7595 0.5190
0.0154 0.0154 0.0307
0.7368 0.2368 0.4736
```

***

# 20
This record from Alexandria describes Zr2ScTc after structural relaxation. The functional is PBEsol.

## Properties
* formation energy: 0.04 eV per atom
* distance to the lowest polymorph of the same formula: 0.234 eV per atom
* symmetry: R-3m

POSCAR file:
```
Zr2ScTc
1.0
3.1958 0.0000 0.0000
1.5979 2.7677 0.0000
1.5979 0.9226 9.2042
Zr Tc Sc
2 1 1
direct
0.7378 0.7378 0.7865
0.2622 0.2622 0.2135
0.0000 0.0000 0.0000
0.5000 0.5000 0.5000
```

***

# 21
This record from Alexandria describes Zr2ScTc after structural relaxation. The functional is PBEsol.

## Properties
* formation energy: -0.05 eV per atom
* distance to the lowest polymorph of the same formula: 0.142 eV per atom
* symmetry: P4/mmm

POSCAR file:
```
Zr2ScTc
1.0
3.3669 0.0000 0.0000
0.0000 4.7463 0.0000
0.0000 0.0000 4.7463
Sc Zr Tc
1 2 1
direct
0.5000 0.5000 0.5000
0.0000 0.5000 0.0000
0.0000 0.0000 0.5000
0.5000 0.0000 0.0000
```

***

# 22
This record from Alexandria describes Zr2ScTc after structural relaxation. The functional is PBEsol.

## Properties
* formation energy: -0.14 eV per atom
* distance to the lowest polymorph of the same formula: 0.056 eV per atom
* symmetry: P4/mmm

POSCAR file:
```
Zr2ScTc
1.0
3.2906 0.0000 0.0000
0.0000 3.2906 0.0000
0.0000 0.0000 7.2972
Tc Zr Sc
1 2 1
direct
0.5000 0.5000 0.5000
0.0000 0.0000 0.2870
0.0000 0.0000 0.7130
0.5000 0.5000 0.0000
```

***

# 23
This record from Alexandria describes Zr2ScTc after structural relaxation. The functional is PBEsol.

## Properties
* formation energy: -0.19 eV per atom
* distance to the lowest polymorph of the same formula: 0.000 eV per atom
* symmetry: Immm

POSCAR file:
```
Zr2ScTc
1.0
3.3404 0.0000 0.0000
0.0000 4.9335 0.0000
-1.6702 -2.4667 4.8060
Sc Zr Tc
1 2 1
direct
0.5000 0.0000 0.0000
0.2880 0.2880 0.5759
0.7120 0.7120 0.4241
0.0000 0.5000 0.0000
```

***

# 24
This record from Alexandria describes ZrScTc2 after structural relaxation. The functional is PBEsol.

## Properties
* formation energy: 0.09 eV per atom
* symmetry: R-3m

POSCAR file:
```
ZrScTc2
1.0
3.1212 0.0000 0.0000
1.5606 2.7030 0.0000
1.5606 0.9010 8.1413
Zr Sc Tc
1 1 2
direct
0.5000 0.5000 0.5000
0.0000 0.0000 0.0000
0.7510 0.7510 0.7471
0.2490 0.2490 0.2529
```

***

# 25
This record from Alexandria describes ZrSc3Tc after structural relaxation. The functional is PBEsol.

## Properties
* formation energy: 1.35 eV per atom
* symmetry: Pm-3m

POSCAR file:
```
ZrSc3Tc
1.0
4.8366 0.0000 0.0000
0.0000 4.8366 0.0000
0.0000 0.0000 4.8366
Sc Zr Tc
3 1 1
direct
0.0000 0.0000 0.5000
0.0000 0.5000 0.0000
0.5000 0.0000 0.0000
0.0000 0.0000 0.0000
0.5000 0.5000 0.5000
```

***

# 26
This record from Alexandria describes Zr2ScTc after structural relaxation. The functional is PBEsol.

## Properties
* formation energy: -0.18 eV per atom
* distance to the lowest polymorph of the same formula: 0.007 eV per atom
* symmetry: Imm2

POSCAR file:
```
Zr2ScTc
1.0
3.3260 0.0000 0.0000
0.0000 4.7856 0.0000
-1.6630 -2.3928 4.9370
Zr Tc Sc
2 1 1
direct
0.9622 0.4622 0.9244
0.7483 0.7483 0.4967
0.2546 0.2546 0.5091
0.5349 0.0349 0.0698
```

***

# 27
This record from Alexandria describes ZrScTc2 after structural relaxation. The functional is PBEsol.

## Properties
* formation energy: -0.06 eV per atom
* symmetry: C2/m

POSCAR file:
```
ZrScTc2
1.0
-0.5096 0.3625 -2.8360
-2.8199 -4.1858 1.1283
-2.0580 4.2681 2.0721
Sc Tc Zr
1 2 1
direct
0.5000 0.5000 0.5000
0.0000 0.0000 0.5000
0.0000 0.5000 0.0000
0.5000 0.0000 0.0000
```

***

# 28
This record from Alexandria describes Sc2Te3 after structural relaxation. The functional is PBEsol.

## Properties
* symmetry: Fdd2
* total DFT energy (no corrections): -5.91 eV per atom

POSCAR file:
```
Sc2Te3
1.0
-4.8181 3.2078 -4.0635
-2.9512 -0.5238 6.8550
-1.7913 6.4110 3.4156
Sc Te
4 6
direct
0.5959 0.9976 0.2402
0.0959 0.0098 0.2524
0.9041 0.6517 0.0861
0.4041 0.1639 0.5983
0.5000 0.3870 0.1130
0.1522 0.7487 0.6449
0.0000 0.1370 0.8630
0.3478 0.8465 0.0471
0.6522 0.6051 0.5013
0.8478 0.2029 0.4035
```

***

# 29
This record from Alexandria describes Sc5Te3 after structural relaxation. The functional is PBEsol.

## Properties
* symmetry: P6_3/mcm
* total DFT energy (no corrections): -6.37 eV per atom

POSCAR file:
```
Sc5Te3
1.0
-1.0996 -1.6731 5.3430
0.7062 -8.0406 -2.3725
6.7700 4.1970 2.7076
Sc Te
10 6
direct
0.5000 0.6667 0.3333
0.2500 0.2561 0.2561
0.7500 0.2561 0.0000
0.2500 0.7439 0.0000
0.7500 0.7439 0.7439
0.0000 0.6667 0.3333
0.2500 0.0000 0.7439
0.5000 0.3333 0.6667
0.0000 0.3333 0.6667
0.7500 0.0000 0.2561
0.2500 0.3828 0.0000
0.2500 0.6172 0.6172
0.7500 0.0000 0.6172
0.7500 0.6172 0.0000
0.2500 0.0000 0.3828
0.7500 0.3828 0.3828
```

***

Number 1: total moment 0.00 μB/f.u.. Number 2: total moment 0.00 μB/f.u.. Number 3: total moment 0.05 μB/f.u.. Number 4: total moment 0.00 μB/f.u.. Number 5: total moment 0.00 μB/f.u.. Number 6: total moment 0.00 μB/f.u.. Number 7: total moment 0.00 μB/f.u.. Number 8: total moment 0.00 μB/f.u.. Number 9: total moment 0.00 μB/f.u.. Number 10: total moment 0.00 μB/f.u.. Number 11: total moment 0.00 μB/f.u.. Number 12: total moment 0.00 μB/f.u.. Number 13: total moment 0.00 μB/f.u.. Number 14: total moment 0.00 μB/f.u.. Number 15: total moment 0.00 μB/f.u.. Number 16: total moment 2.75 μB/f.u.. Number 17: total moment 0.00 μB/f.u.. Number 18: total moment 0.00 μB/f.u.. Number 19: total moment 0.00 μB/f.u.. Number 20: total moment 0.00 μB/f.u.. Number 21: total moment 0.00 μB/f.u.. Number 22: total moment 0.00 μB/f.u.. Number 23: total moment 0.00 μB/f.u.. Number 24: total moment 0.00 μB/f.u.. Number 25: total moment 1.95 μB/f.u.. Number 26: total moment 0.00 μB/f.u.. Number 27: total moment 0.00 μB/f.u.. Number 28: total moment 0.00 μB/f.u.. Number 29: total moment 0.00 μB/f.u..